Entry 1:
Density functional theory data (GGA-PBE) for an optimized crystal structure of RbTaTeSe3.

Properties
volume = 39.3 Å³ per atom
total magnetization = 0.0 μB per formula unit
uncorrected formation energy = -593.8 meV per atom
final energy = -4.996 eV/atom

```
data_RbTaTeSe3
_chemical_formula_sum 'Rb4 Ta4 Te4 Se12'
_cell_length_a 9.613
_cell_length_b 15.944
_cell_length_c 6.154
_cell_angle_alpha 90.00
_cell_angle_beta 90.00
_cell_angle_gamma 90.00
_symmetry_space_group_name_H-M 'C m c m'
_symmetry_Int_Tables_number 63
_symmetry_space_group_name_Hall '-C 2c 2'
loop_
_atom_site_label
_atom_site_fract_x
_atom_site_fract_y
_atom_site_fract_z
Rb1 0.000 0.204 0.250
Ta1 0.000 0.452 0.750
Te1 0.000 0.026 0.750
Se1 0.000 0.303 0.750
Se2 0.195 0.500 0.000
```

Entry 2:
Density functional theory data (GGA-PBE) for an optimized crystal structure of Na8B13C3.

Properties
volume = 10.8 Å³ per atom
total magnetization = 0.0 μB per formula unit
energy above the lowest structure with this stoichiometry = 10 meV/atom
final energy = -5.018 eV/atom

```
data_Na8B13C3
_chemical_formula_sum 'Na16 B26 C6'
_cell_length_a 35.106
_cell_length_b 2.802
_cell_length_c 5.323
_cell_angle_alpha 90.00
_cell_angle_beta 98.63
_cell_angle_gamma 90.00
_symmetry_space_group_name_H-M 'C 1 m 1'
_symmetry_Int_Tables_number 8
loop_
_symmetry_equiv_pos_as_xyz
'x,y,z'
'x,-y,z'
'x+1/2,y+1/2,z'
'x+1/2,-y+1/2,z'
loop_
_atom_site_label
_atom_site_fract_x
_atom_site_fract_y
_atom_site_fract_z
Na1 0.000 0.000 0.000
Na2 0.000 0.500 0.498
Na3 0.124 0.000 0.126
Na4 0.125 0.500 0.623
Na5 0.249 0.000 0.249
Na6 0.249 0.500 0.749
Na7 0.374 0.000 0.373
Na8 0.374 0.500 0.874
B1 0.063 0.000 0.697
B2 0.063 0.500 0.244
B3 0.063 0.500 0.911
B4 0.187 0.000 0.505
B5 0.187 0.000 0.838
B6 0.187 0.500 0.051
B7 0.311 0.000 0.660
B8 0.312 0.000 0.993
B9 0.312 0.500 0.446
B10 0.437 0.000 0.091
B11 0.437 0.000 0.781
B12 0.437 0.500 0.282
B13 0.437 0.500 0.590
C1 0.063 0.000 0.401
C2 0.187 0.500 0.348
C3 0.312 0.500 0.150
```

Entry 3:
Density functional theory data (GGA-PBE) for an optimized crystal structure of LaRe3C.

Properties
volume = 22.1 Å³ per atom
total magnetization = 0.0 μB per formula unit
energy above the lowest structure with this stoichiometry = 3877 meV/atom
final energy = -5.902 eV/atom

```
data_LaRe3C
_chemical_formula_sum 'La1 Re3 C1'
_cell_length_a 4.800
_cell_length_b 4.800
_cell_length_c 4.800
_cell_angle_alpha 90.00
_cell_angle_beta 90.00
_cell_angle_gamma 90.00
_symmetry_space_group_name_H-M 'P m -3 m'
_symmetry_Int_Tables_number 221
_symmetry_space_group_name_Hall '-P 4 2 3'
loop_
_atom_site_label
_atom_site_fract_x
_atom_site_fract_y
_atom_site_fract_z
La1 0.000 0.000 0.000
Re1 0.000 0.000 0.500
C1 0.500 0.500 0.500
```